Below is a relaxed Zr8H6Pb crystal, with properties calculated at the PBE-GGA level.

Values from the calculation:
- Symmetry: R-3 (148)
- D(E_F): 0.737 states/eV per atom
- Final energy: -6.43 eV per atom

a = 6.1248 Å, b = 6.1248 Å, c = 6.1248 Å
α = 95.54°, β = 95.54°, γ = 95.54°
Fractional positions:
Zr 0.0529 0.7370 0.3957
Zr 0.1678 0.1678 0.1678
Zr 0.2630 0.6043 0.9471
Zr 0.3957 0.0529 0.7370
Zr 0.6043 0.9471 0.2630
Zr 0.7370 0.3957 0.0529
Zr 0.8322 0.8322 0.8322
Zr 0.9471 0.2630 0.6043
H 0.0260 0.3373 0.9327
H 0.0673 0.9740 0.6627
H 0.3373 0.9327 0.0260
H 0.6627 0.0673 0.9740
H 0.9327 0.0260 0.3373
H 0.9740 0.6627 0.0673
Pb 0.5000 0.5000 0.5000

---

Below is a relaxed Zr3HPb crystal, with properties calculated at the PBE-GGA level.

Values from the calculation:
- Symmetry: Fd-3m (227)
- D(E_F): 1.030 states/eV per atom
- Final energy: -6.44 eV per atom

a = 8.4598 Å, b = 8.4598 Å, c = 8.4598 Å
α = 60.00°, β = 60.00°, γ = 60.00°
Fractional positions:
Zr 0.0647 0.0647 0.6853
Zr 0.0647 0.6853 0.0647
Zr 0.0647 0.6853 0.6853
Zr 0.3147 0.3147 0.9353
Zr 0.3147 0.9353 0.3147
Zr 0.3147 0.9353 0.9353
Zr 0.6853 0.0647 0.0647
Zr 0.6853 0.0647 0.6853
Zr 0.6853 0.6853 0.0647
Zr 0.9353 0.3147 0.3147
Zr 0.9353 0.3147 0.9353
Zr 0.9353 0.9353 0.3147
H 0.0000 0.0000 0.0000
H 0.0000 0.0000 0.5000
H 0.0000 0.5000 0.0000
H 0.5000 0.0000 0.0000
Pb 0.0000 0.5000 0.5000
Pb 0.5000 0.0000 0.5000
Pb 0.5000 0.5000 0.0000
Pb 0.5000 0.5000 0.5000

---

Below is a relaxed Zr3HPb crystal, with properties calculated at the PBE-GGA level.

Values from the calculation:
- Symmetry: Pm-3m (221)
- D(E_F): 1.811 states/eV per atom
- Final energy: -4.73 eV per atom

a = 5.4738 Å, b = 5.4738 Å, c = 5.4738 Å
α = 90.00°, β = 90.00°, γ = 90.00°
Fractional positions:
Zr 0.0000 0.0000 0.5000
Zr 0.0000 0.5000 0.0000
Zr 0.5000 0.0000 0.0000
H 0.5000 0.5000 0.5000
Pb 0.0000 0.0000 0.0000

---

Below is a relaxed Zr7H2Pb2 crystal, with properties calculated at the PBE-GGA level.

Values from the calculation:
- Symmetry: C2/m (12)
- D(E_F): 0.893 states/eV per atom
- Final energy: -6.66 eV per atom

a = 6.4261 Å, b = 6.4261 Å, c = 6.1206 Å
α = 97.22°, β = 97.22°, γ = 64.76°
Fractional positions:
Zr 0.0000 0.0000 0.0000
Zr 0.0564 0.5152 0.7616
Zr 0.4241 0.4241 0.1592
Zr 0.4848 0.9436 0.2384
Zr 0.5152 0.0564 0.7616
Zr 0.5759 0.5759 0.8408
Zr 0.9436 0.4848 0.2384
H 0.2311 0.2311 0.9941
H 0.7689 0.7689 0.0059
Pb 0.2073 0.7927 0.5000
Pb 0.7927 0.2073 0.5000

---

Below is a relaxed Zr3HPb crystal, with properties calculated at the PBE-GGA level.

Values from the calculation:
- Symmetry: C2/c (15)
- D(E_F): 0.699 states/eV per atom
- Final energy: -6.69 eV per atom

a = 8.2671 Å, b = 8.2671 Å, c = 6.2823 Å
α = 105.87°, β = 105.87°, γ = 86.03°
Fractional positions:
Zr 0.0112 0.4097 0.6876
Zr 0.0255 0.1841 0.0885
Zr 0.1841 0.0255 0.5885
Zr 0.3378 0.3524 0.4879
Zr 0.3524 0.3378 0.9879
Zr 0.4097 0.0112 0.1876
Zr 0.5903 0.9888 0.8124
Zr 0.6476 0.6622 0.0121
Zr 0.6622 0.6476 0.5121
Zr 0.8159 0.9745 0.4115
Zr 0.9745 0.8159 0.9115
Zr 0.9888 0.5903 0.3124
H 0.1257 0.2224 0.8383
H 0.2224 0.1257 0.3383
H 0.7776 0.8743 0.6617
H 0.8743 0.7776 0.1617
Pb 0.2962 0.7038 0.7500
Pb 0.3057 0.6943 0.2500
Pb 0.6943 0.3057 0.7500
Pb 0.7038 0.2962 0.2500

---

Below is a relaxed Zr4HPb crystal, with properties calculated at the PBE-GGA level.

Values from the calculation:
- Symmetry: C2/c (15)
- D(E_F): 0.812 states/eV per atom
- Final energy: -6.95 eV per atom

a = 8.0231 Å, b = 8.0231 Å, c = 5.6023 Å
α = 106.57°, β = 106.57°, γ = 120.66°
Fractional positions:
Zr 0.0876 0.6475 0.8659
Zr 0.1424 0.2628 0.6058
Zr 0.2628 0.1424 0.1058
Zr 0.3525 0.9124 0.6341
Zr 0.6475 0.0876 0.3659
Zr 0.7372 0.8576 0.8942
Zr 0.8576 0.7372 0.3942
Zr 0.9124 0.3525 0.1341
H 0.1297 0.8703 0.7500
H 0.8703 0.1297 0.2500
Pb 0.3976 0.6024 0.2500
Pb 0.6024 0.3976 0.7500

---

Below is a relaxed Zr3HPb crystal, with properties calculated at the PBE-GGA level.

Values from the calculation:
- Symmetry: C2/m (12)
- D(E_F): 0.658 states/eV per atom
- Final energy: -6.69 eV per atom

a = 6.0287 Å, b = 6.0287 Å, c = 11.7068 Å
α = 111.83°, β = 111.83°, γ = 30.78°
Fractional positions:
Zr 0.0920 0.0920 0.3896
Zr 0.1124 0.1124 0.1226
Zr 0.3682 0.3682 0.1057
Zr 0.6318 0.6318 0.8943
Zr 0.8876 0.8876 0.8774
Zr 0.9080 0.9080 0.6104
H 0.0210 0.0210 0.7962
H 0.9790 0.9790 0.2038
Pb 0.3467 0.3467 0.3655
Pb 0.6533 0.6533 0.6345

---

Below is a relaxed Zr3HPb crystal, with properties calculated at the PBE-GGA level.

Values from the calculation:
- Symmetry: P4mm (99)
- D(E_F): 1.074 states/eV per atom
- Final energy: -6.16 eV per atom

a = 4.1175 Å, b = 4.1175 Å, c = 7.6943 Å
α = 90.00°, β = 90.00°, γ = 90.00°
Fractional positions:
Zr 0.0000 0.0000 0.0000
Zr 0.0000 0.5000 0.7091
Zr 0.5000 0.0000 0.7091
H 0.5000 0.5000 0.6468
Pb 0.0000 0.0000 0.3898

---

- Which formula does entry 6 have?
  Zr4HPb